(1)
DFT (PBE) results for a geometry-optimized PmAg3 structure.

Geometry as CIF:
```
data_PmAg3
_chemical_formula_sum 'Pm1 Ag3'
_cell_length_a 4.4874
_cell_length_b 4.4874
_cell_length_c 4.4874
_cell_angle_alpha 90.00
_cell_angle_beta 90.00
_cell_angle_gamma 90.00
_symmetry_space_group_name_H-M 'P m -3 m'
_symmetry_Int_Tables_number 221
_symmetry_space_group_name_Hall '-P 4 2 3'
loop_
_atom_site_label
_atom_site_fract_x
_atom_site_fract_y
_atom_site_fract_z
Pm1 0.0000 0.0000 0.0000
Ag1 0.0000 0.5000 0.5000
```

Output
Total moment ... 0.00 Bohr magnetons per cell

=====

(2)
DFT (PBE) results for a geometry-optimized Pm3Ag structure.

Geometry as CIF:
```
data_Pm3Ag
_chemical_formula_sum 'Pm3 Ag1'
_cell_length_a 4.8938
_cell_length_b 4.8938
_cell_length_c 4.8938
_cell_angle_alpha 90.00
_cell_angle_beta 90.00
_cell_angle_gamma 90.00
_symmetry_space_group_name_H-M 'P m -3 m'
_symmetry_Int_Tables_number 221
_symmetry_space_group_name_Hall '-P 4 2 3'
loop_
_atom_site_label
_atom_site_fract_x
_atom_site_fract_y
_atom_site_fract_z
Pm1 0.0000 0.0000 0.5000
Ag1 0.5000 0.5000 0.5000
```

Output
Total moment ... 0.00 Bohr magnetons per cell
Polymorph energy (0 for the lowest one) ... 0.103 eV per atom

=====

(3)
DFT (PBE) results for a geometry-optimized Pm2Ag17 structure.

Geometry as CIF:
```
data_Pm2Ag17
_chemical_formula_sum 'Pm6 Ag51'
_cell_length_a 9.6232
_cell_length_b 9.6232
_cell_length_c 14.3017
_cell_angle_alpha 90.00
_cell_angle_beta 90.00
_cell_angle_gamma 120.00
_symmetry_space_group_name_H-M 'R -3 m'
_symmetry_Int_Tables_number 166
_symmetry_space_group_name_Hall '-R 3 2"'
loop_
_atom_site_label
_atom_site_fract_x
_atom_site_fract_y
_atom_site_fract_z
Pm1 0.0000 0.0000 0.1569
Ag1 0.0000 0.0000 0.3996
Ag2 0.0000 0.3022 0.5000
Ag3 0.0000 0.5000 0.0000
Ag4 0.0053 0.5027 0.6514
```

Output
Total moment ... 0.00 Bohr magnetons per cell

=====

Number 1: formation enthalpy at 0 K -0.03 eV/atom. Number 2: formation enthalpy at 0 K 0.01 eV/atom. Number 3: formation enthalpy at 0 K -0.06 eV/atom.